Record 1
Entry from the Alexandria database: a geometry-optimized KCrCl3 structure (PBE).

Structure (POSCAR):
```
KCrCl3
1.0
4.972 0.000 0.000
0.000 4.972 0.000
0.000 0.000 4.972
Cl K Cr
3 1 1
direct
0.000 0.500 0.000
0.500 0.000 0.000
0.000 0.000 0.500
0.500 0.500 0.500
0.000 0.000 0.000
```

Results
ΔE_f (raw)   -1.3716 eV per atom
E   -23.119 eV/f.u.
Spin magnetization   0.800 μB/atom

=====

Record 2
Entry from the Alexandria database: a geometry-optimized K2CrCl structure (PBE).

Structure (POSCAR):
```
K2CrCl
1.0
9.770 -0.004 -0.006
8.149 5.390 0.006
-8.897 -2.900 2.808
Cr K Cl
1 2 1
direct
0.306 0.806 0.500
0.679 0.179 0.500
0.970 0.970 0.000
0.546 0.546 0.000
```

Results
Distance to the lowest polymorph of the same formula   44 meV per atom
ΔE_f (raw)   -0.2397 eV per atom
E   -14.624 eV/f.u.
Spin magnetization   1.315 μB/atom

=====

Record 3
Entry from the Alexandria database: a geometry-optimized K2CrCl structure (PBE).

Structure (POSCAR):
```
K2CrCl
1.0
-0.624 -2.393 5.354
2.057 2.826 4.751
-3.758 2.379 3.874
Cl K Cr
1 2 1
direct
0.000 0.000 0.000
0.750 0.750 0.750
0.250 0.250 0.250
0.500 0.500 0.500
```

Results
Distance to the lowest polymorph of the same formula   202 meV per atom
ΔE_f (raw)   -0.0819 eV per atom
E   -13.992 eV/f.u.
Spin magnetization   1.250 μB/atom

=====

Record 4
Entry from the Alexandria database: a geometry-optimized K2CrCl structure (PBE).

Structure (POSCAR):
```
K2CrCl
1.0
7.803 0.073 0.000
4.906 6.068 0.000
-6.354 -3.071 3.329
K Cr Cl
2 1 1
direct
0.000 0.000 0.000
0.250 0.750 0.500
0.750 0.250 0.500
0.500 0.500 0.000
```

Results
Distance to the lowest polymorph of the same formula   210 meV per atom
ΔE_f (raw)   -0.0739 eV per atom
E   -13.961 eV/f.u.
Spin magnetization   1.294 μB/atom

=====

Record 5
Entry from the Alexandria database: a geometry-optimized KCr3Cl structure (PBE).

Structure (POSCAR):
```
KCr3Cl
1.0
-0.206 -5.129 -0.420
4.707 -0.018 -2.090
2.080 -0.468 4.688
Cr Cl K
3 1 1
direct
0.000 0.500 0.000
0.500 0.000 0.000
0.000 0.000 0.500
0.000 0.000 0.000
0.500 0.500 0.500
```

Results
Distance to the lowest polymorph of the same formula   0 meV per atom
ΔE_f (raw)   1.1425 eV per atom
E   -26.102 eV/f.u.
Spin magnetization   2.804 μB/atom

=====

Record 6
Entry from the Alexandria database: a geometry-optimized K2CrCl structure (PBE).

Structure (POSCAR):
```
K2CrCl
1.0
-6.008 -6.053 2.032
6.058 -6.285 -0.809
1.109 -5.712 5.178
K Cl Cr
4 2 2
direct
0.375 0.432 0.750
0.568 0.125 0.250
0.182 0.625 0.250
0.875 0.818 0.750
0.500 0.500 0.000
0.250 0.750 0.500
0.750 0.250 0.500
0.000 0.000 0.000
```

Results
Distance to the lowest polymorph of the same formula   124 meV per atom
ΔE_f (raw)   -0.1597 eV per atom
E   -14.304 eV/f.u.
Spin magnetization   1.251 μB/atom